The following is a DFT calculation (PBE) of crystalline MnNCl3 at its relaxed geometry.

Output
Size of the total moment: 0.00 μB/f.u.
Calculated total energy: -3.438 eV per atom

Lattice parameters (Å, degrees): 4.5045 4.5045 4.5045 90.00 90.00 90.00
Last column: nearest neighbours and their distance in Å.
Space group Pm-3m (No. 221)
Inequivalent atoms, fractional coordinates:
Mn 0.0000 0.0000 0.0000 [1 per cell]  6 Cl 2.25
N 0.5000 0.5000 0.5000 [1 per cell]  12 Cl 3.19
Cl 0.0000 0.0000 0.5000 [3 per cell]  2 Mn 2.25


The following is a DFT calculation (PBE) of crystalline NaMn2NCl at its relaxed geometry.

Output
Size of the total moment: 7.89 μB/f.u.
Calculated total energy: -4.728 eV per atom

Lattice parameters (Å, degrees): 4.3437 4.3437 4.8563 90.00 90.00 90.00
Last column: nearest neighbours and their distance in Å.
Space group P4/mmm (No. 123)
Inequivalent atoms, fractional coordinates:
Na 0.0000 0.0000 0.0000 [1 per cell]  4 N 3.07, 8 Mn 3.26
Mn 0.0000 0.5000 0.5000 [2 per cell]  2 Cl 2.17
N 0.5000 0.5000 0.0000 [1 per cell]  2 Cl 2.43
Cl 0.5000 0.5000 0.5000 [1 per cell]  4 Mn 2.17, 2 N 2.43


The following is a DFT calculation (PBE) of crystalline MnP2NCl at its relaxed geometry.

Output
Size of the total moment: 0.05 μB/f.u.
Calculated total energy: -4.741 eV per atom

Lattice parameters (Å, degrees): 3.9122 3.9122 4.3118 90.00 90.00 90.00
Last column: nearest neighbours and their distance in Å.
Space group P4/mmm (No. 123)
Inequivalent atoms, fractional coordinates:
Mn 0.0000 0.0000 0.0000 [1 per cell]  4 Cl 2.77, 8 P 2.91
P 0.0000 0.5000 0.5000 [2 per cell]  2 N 1.96
N 0.5000 0.5000 0.5000 [1 per cell]  4 P 1.96, 2 Cl 2.16
Cl 0.5000 0.5000 0.0000 [1 per cell]  2 N 2.16


The following is a DFT calculation (PBE) of crystalline MnP2NCl at its relaxed geometry.

Output
Size of the total moment: 1.65 μB/f.u.
Calculated total energy: -4.801 eV per atom

Lattice parameters (Å, degrees): 4.2923 4.2923 4.9709 90.00 90.00 90.00
Last column: nearest neighbours and their distance in Å.
Space group P4/mmm (No. 123)
Inequivalent atoms, fractional coordinates:
Mn 0.0000 0.0000 0.0000 [1 per cell]  4 P 2.15
P 0.0000 0.5000 0.0000 [2 per cell]  2 Mn 2.15
N 0.5000 0.5000 0.5000 [1 per cell]  4 Cl 3.04, 8 P 3.28
Cl 0.0000 0.0000 0.5000 [1 per cell]  2 Mn 2.49


The following is a DFT calculation (PBE) of crystalline MnS2NCl at its relaxed geometry.

Output
Size of the total moment: 0.08 μB/f.u.
Calculated total energy: -3.505 eV per atom

Lattice parameters (Å, degrees): 4.6970 4.6970 3.3690 90.00 90.00 90.00
Last column: nearest neighbours and their distance in Å.
Space group P4/mmm (No. 123)
Inequivalent atoms, fractional coordinates:
Mn 0.0000 0.0000 0.0000 [1 per cell]  8 S 2.89
S 0.0000 0.5000 0.5000 [2 per cell]  2 Cl 2.35
N 0.5000 0.5000 0.0000 [1 per cell]  2 Cl 1.68
Cl 0.5000 0.5000 0.5000 [1 per cell]  2 N 1.68


The following is a DFT calculation (PBE) of crystalline MnS2NCl at its relaxed geometry.

Output
Size of the total moment: 0.00 μB/f.u.
Calculated total energy: -4.137 eV per atom

Lattice parameters (Å, degrees): 4.2852 4.2852 4.6561 90.00 90.00 90.00
Last column: nearest neighbours and their distance in Å.
Space group P4/mmm (No. 123)
Inequivalent atoms, fractional coordinates:
Mn 0.0000 0.0000 0.0000 [1 per cell]  4 S 2.14, 2 Cl 2.33
S 0.0000 0.5000 0.0000 [2 per cell]  2 Mn 2.14
N 0.5000 0.5000 0.5000 [1 per cell]  4 Cl 3.03, 8 S 3.16
Cl 0.0000 0.0000 0.5000 [1 per cell]  2 Mn 2.33


The following is a DFT calculation (PBE) of crystalline MnS2NCl at its relaxed geometry.

Output
Size of the total moment: 0.03 μB/f.u.
Calculated total energy: -4.067 eV per atom

Lattice parameters (Å, degrees): 4.0284 4.0284 4.4592 90.00 90.00 90.00
Last column: nearest neighbours and their distance in Å.
Space group P4/mmm (No. 123)
Inequivalent atoms, fractional coordinates:
Mn 0.0000 0.0000 0.0000 [1 per cell]  4 Cl 2.85, 8 S 3.00
S 0.0000 0.5000 0.5000 [2 per cell]  2 N 2.01
N 0.5000 0.5000 0.5000 [1 per cell]  4 S 2.01, 2 Cl 2.23
Cl 0.5000 0.5000 0.0000 [1 per cell]  2 N 2.23


The following is a DFT calculation (PBE) of crystalline MnS2NCl at its relaxed geometry.

Output
Size of the total moment: 0.00 μB/f.u.
Calculated total energy: -4.954 eV per atom

Lattice parameters (Å, degrees): 4.6427 4.6427 3.4922 90.00 90.00 90.00
Last column: nearest neighbours and their distance in Å.
Space group P4/mmm (No. 123)
Inequivalent atoms, fractional coordinates:
Mn 0.0000 0.0000 0.0000 [1 per cell]  2 N 1.75
S 0.0000 0.5000 0.0000 [2 per cell]  2 Mn 2.32
N 0.0000 0.0000 0.5000 [1 per cell]  2 Mn 1.75
Cl 0.5000 0.5000 0.5000 [1 per cell]  8 S 2.90


The following is a DFT calculation (PBE) of crystalline MnSN2Cl at its relaxed geometry.

Output
Size of the total moment: 2.91 μB/f.u.
Calculated total energy: -4.308 eV per atom

Lattice parameters (Å, degrees): 3.8910 3.8910 4.6874 90.00 90.00 90.00
Last column: nearest neighbours and their distance in Å.
Space group P4/mmm (No. 123)
Inequivalent atoms, fractional coordinates:
Mn 0.0000 0.0000 0.0000 [1 per cell]  4 S 2.75, 8 N 3.05
S 0.5000 0.5000 0.0000 [1 per cell]  2 Cl 2.34
N 0.0000 0.5000 0.5000 [2 per cell]  2 Cl 1.95
Cl 0.5000 0.5000 0.5000 [1 per cell]  4 N 1.95


The following is a DFT calculation (PBE) of crystalline MnSN2Cl at its relaxed geometry.

Output
Size of the total moment: 0.21 μB/f.u.
Calculated total energy: -5.589 eV per atom

Lattice parameters (Å, degrees): 3.5796 3.5796 5.2220 90.00 90.00 90.00
Last column: nearest neighbours and their distance in Å.
Space group P4/mmm (No. 123)
Inequivalent atoms, fractional coordinates:
Mn 0.0000 0.0000 0.0000 [1 per cell]  4 N 1.79
S 0.0000 0.0000 0.5000 [1 per cell]  4 Cl 2.53, 2 Mn 2.61
N 0.0000 0.5000 0.0000 [2 per cell]  2 Mn 1.79
Cl 0.5000 0.5000 0.5000 [1 per cell]  4 S 2.53


The following is a DFT calculation (PBE) of crystalline MnSeN2Cl at its relaxed geometry.

Output
Size of the total moment: 0.09 μB/f.u.
Calculated total energy: -5.542 eV per atom

Lattice parameters (Å, degrees): 3.6251 3.6251 5.3896 90.00 90.00 90.00
Last column: nearest neighbours and their distance in Å.
Space group P4/mmm (No. 123)
Inequivalent atoms, fractional coordinates:
Mn 0.0000 0.0000 0.0000 [1 per cell]  4 N 1.81
Se 0.0000 0.0000 0.5000 [1 per cell]  4 Cl 2.56, 2 Mn 2.69
N 0.0000 0.5000 0.0000 [2 per cell]  2 Mn 1.81
Cl 0.5000 0.5000 0.5000 [1 per cell]  4 Se 2.56


The following is a DFT calculation (PBE) of crystalline MnSeN2Cl at its relaxed geometry.

Output
Size of the total moment: 0.87 μB/f.u.
Calculated total energy: -3.719 eV per atom

Lattice parameters (Å, degrees): 3.7886 3.7886 4.8365 90.00 90.00 90.00
Last column: nearest neighbours and their distance in Å.
Space group P4/mmm (No. 123)
Inequivalent atoms, fractional coordinates:
Mn 0.0000 0.0000 0.0000 [1 per cell]  4 Se 2.68
Se 0.5000 0.5000 0.0000 [1 per cell]  2 Cl 2.42, 4 Mn 2.68
N 0.0000 0.5000 0.5000 [2 per cell]  2 Cl 1.89
Cl 0.5000 0.5000 0.5000 [1 per cell]  4 N 1.89